[1]
Computed, not measured: Cs2ZrAuBr6 after structural relaxation at the PBE-GGA level of DFT.

Lattice parameters (Å, degrees): 8.028 8.028 11.408 90.00 90.00 90.00
Space group I4/m (No. 87)
Unique sites:
Cs: 0.000 0.500 0.250 x4
Zr: 0.000 0.000 0.000 x2
Au: 0.000 0.000 0.500 x2
Br: 0.000 0.000 0.234 x4
Br: 0.221 0.247 0.000 x8

Calculated values
**Total moment**: 0.00 μB per formula unit
**Raw total energy**: -3.5830 eV per atom

[2]
Computed, not measured: CuAu6Br3 after structural relaxation at the PBE-GGA level of DFT.

Lattice parameters (Å, degrees): 7.600 7.600 9.859 90.00 90.00 90.00
Space group I4/mmm (No. 139)
Unique sites:
Cu: 0.000 0.000 0.000 x2
Au: 0.000 0.000 0.242 x4
Au: 0.000 0.321 0.000 x8
Br: 0.000 0.000 0.500 x2
Br: 0.000 0.500 0.250 x4

Calculated values
**Raw total energy**: -2.4005 eV per atom

[3]
Computed, not measured: CuAuBr4 after structural relaxation at the PBE-GGA level of DFT.

Lattice parameters (Å, degrees): 6.437 4.102 6.512 90.00 96.52 90.00
Space group P2/m (No. 10)
Unique sites:
Cu: 0.000 0.000 0.000 x1
Au: 0.000 0.500 0.500 x1
Br: 0.226 0.500 0.839 x2
Br: 0.236 0.000 0.313 x2

Calculated values
**Raw total energy**: -2.3842 eV per atom

[4]
Computed, not measured: Rb2DyAuBr6 after structural relaxation at the PBE-GGA level of DFT.

Lattice parameters (Å, degrees): 7.942 7.942 11.272 90.00 90.00 90.00
Space group I4/mmm (No. 139)
Unique sites:
Rb: 0.000 0.500 0.250 x4
Dy: 0.000 0.000 0.000 x2
Au: 0.000 0.000 0.500 x2
Br: 0.000 0.000 0.247 x4
Br: 0.248 0.248 0.000 x8

Calculated values
**Total moment**: 0.00 μB per formula unit
**Raw total energy**: -3.3873 eV per atom

[5]
Computed, not measured: Rb2ErAuBr6 after structural relaxation at the PBE-GGA level of DFT.

Lattice parameters (Å, degrees): 7.907 7.907 11.224 90.00 90.00 90.00
Space group I4/mmm (No. 139)
Unique sites:
Rb: 0.000 0.500 0.250 x4
Er: 0.000 0.000 0.000 x2
Au: 0.000 0.000 0.500 x2
Br: 0.000 0.000 0.246 x4
Br: 0.247 0.247 0.000 x8

Calculated values
**Total moment**: 0.00 μB per formula unit
**Raw total energy**: -3.3814 eV per atom

[6]
Computed, not measured: Au4BrF3 after structural relaxation at the PBE-GGA level of DFT.

Lattice parameters (Å, degrees): 5.738 5.811 9.180 90.00 90.00 90.00
Space group Cmm2 (No. 35)
Unique sites:
Au: 0.000 0.248 0.000 x4
Au: 0.248 0.500 0.553 x4
Br: 0.000 0.000 0.337 x2
F: 0.000 0.000 0.829 x2
F: 0.000 0.500 0.168 x2
F: 0.000 0.500 0.732 x2

Calculated values
**Raw total energy**: -2.9358 eV per atom

Repeat the sixth record exactly.
Computed, not measured: Au4BrF3 after structural relaxation at the PBE-GGA level of DFT.

Lattice parameters (Å, degrees): 5.738 5.811 9.180 90.00 90.00 90.00
Space group Cmm2 (No. 35)
Unique sites:
Au: 0.000 0.248 0.000 x4
Au: 0.248 0.500 0.553 x4
Br: 0.000 0.000 0.337 x2
F: 0.000 0.000 0.829 x2
F: 0.000 0.500 0.168 x2
F: 0.000 0.500 0.732 x2

Calculated values
**Raw total energy**: -2.9358 eV per atom

Question: Number 1 is which compound?
Answer: Cs2ZrAuBr6